NdAuSe | PBE-GGA | relaxed

The uncorrected formation energy comes out at -1.097 eV/atom. Its space-group type is F-43m, No. 216. Its total energy is -4.940 eV per atom.

Cell lengths 4.9806, 4.9806, 4.9806 Å; angles 60.00, 60.00, 60.00 degrees
With the nearest neighbours (Å) after each atom.
Atoms (fractional coordinates):
Nd (0.0000, 0.0000, 0.0000)  4 Au 3.05, 4 Se 3.05
Au (0.7500, 0.7500, 0.7500)  4 Nd 3.05
Se (0.2500, 0.2500, 0.2500)  4 Nd 3.05